! ErZrCN PBE-GGA relaxed; values from VASP
&SYSTEM
  ibrav = 0, nat = 4, ntyp = 4
/
ATOMIC_SPECIES
Er 167.26 Er.upf
Zr 91.22 Zr.upf
C 12.01 C.upf
N 14.01 N.upf
CELL_PARAMETERS angstrom
-1.519 1.588 5.812
1.519 -1.588 5.812
1.519 1.588 -5.812
ATOMIC_POSITIONS angstrom
Er 0.000 0.000 0.000
Zr 0.000 1.588 2.837
C 1.519 0.000 3.762
N 0.000 0.000 6.852
! Total magnetization = 0.00 μB per formula unit
! Crystal system = orthorhombic
! DFT total energy = -8.271 eV per atom



! NaEr2C PBE-GGA relaxed; values from VASP
&SYSTEM
  ibrav = 0, nat = 4, ntyp = 3
/
ATOMIC_SPECIES
Na 22.99 Na.upf
Er 167.26 Er.upf
C 12.01 C.upf
CELL_PARAMETERS angstrom
1.760 1.016 9.804
-1.760 1.016 9.804
0.000 -2.033 9.804
ATOMIC_POSITIONS angstrom
Na 0.000 0.000 0.000
Er 0.000 0.000 3.577
Er 0.000 0.000 25.836
C 0.000 0.000 14.706
! Total magnetization = 0.00 μB per formula unit
! Crystal system = trigonal
! Formation enthalpy at 0 K = -0.1356 eV/atom
! DFT total energy = -5.053 eV per atom



! NaEr2C PBE-GGA relaxed; values from VASP
&SYSTEM
  ibrav = 0, nat = 4, ntyp = 3
/
ATOMIC_SPECIES
Na 22.99 Na.upf
Er 167.26 Er.upf
C 12.01 C.upf
CELL_PARAMETERS angstrom
3.157 0.000 0.000
0.000 3.157 0.000
0.000 0.000 9.214
ATOMIC_POSITIONS angstrom
Na 0.000 0.000 0.000
Er 1.578 1.578 3.243
Er 1.578 1.578 5.971
C 0.000 0.000 4.607
! Total magnetization = 0.00 μB per formula unit
! Crystal system = tetragonal
! Formation enthalpy at 0 K = 0.3065 eV/atom
! DFT total energy = -4.611 eV per atom



! NaErCO4 PBE-GGA relaxed; values from VASP
&SYSTEM
  ibrav = 0, nat = 14, ntyp = 4
/
ATOMIC_SPECIES
Na 22.99 Na.upf
Er 167.26 Er.upf
C 12.01 C.upf
O 16.00 O.upf
CELL_PARAMETERS angstrom
-2.736 3.304 4.097
2.736 -3.304 4.097
2.736 3.304 -4.097
ATOMIC_POSITIONS angstrom
Na -1.368 1.652 2.048
Na 1.368 1.652 2.048
Er 0.000 0.000 0.000
Er 0.000 3.304 0.000
C 2.736 1.652 -1.099
C 0.000 1.652 5.196
O 2.736 -0.492 1.799
O 2.736 2.812 -1.799
O 1.520 1.652 -0.121
O 3.951 1.652 -0.121
O -1.216 1.652 4.218
O 1.216 1.652 4.218
O 0.000 0.492 5.896
O 0.000 3.796 2.298
! Total magnetization = 0.00 μB per formula unit
! Crystal system = orthorhombic
! DFT total energy = -6.765 eV per atom



! Na2ErC2O6 PBE-GGA relaxed; values from VASP
&SYSTEM
  ibrav = 0, nat = 11, ntyp = 4
/
ATOMIC_SPECIES
Na 22.99 Na.upf
Er 167.26 Er.upf
C 12.01 C.upf
O 16.00 O.upf
CELL_PARAMETERS angstrom
5.151 0.000 0.000
-2.576 4.461 0.000
0.000 0.000 7.622
ATOMIC_POSITIONS angstrom
Na 0.000 2.974 2.524
Na 2.576 1.487 5.098
Er 0.000 0.000 0.000
C 0.000 2.974 6.376
C 2.576 1.487 1.247
O -0.503 1.779 6.350
O -0.784 4.008 6.350
O 1.289 1.325 1.273
O 1.287 3.136 6.350
O 3.360 0.454 1.273
O 3.079 2.683 1.273
! Total magnetization = 0.00 μB per formula unit
! Crystal system = trigonal
! DFT total energy = -6.907 eV per atom



! Na2ErPCO7 PBE-GGA relaxed; values from VASP
&SYSTEM
  ibrav = 0, nat = 24, ntyp = 5
/
ATOMIC_SPECIES
Na 22.99 Na.upf
Er 167.26 Er.upf
P 30.97 P.upf
C 12.01 C.upf
O 16.00 O.upf
CELL_PARAMETERS angstrom
5.236 0.000 0.000
0.000 6.957 0.000
-0.051 0.000 9.383
ATOMIC_POSITIONS angstrom
Na 1.282 0.042 1.968
Na 1.282 3.436 1.968
Na 3.903 3.520 7.415
Na 3.903 6.915 7.415
Er 1.080 1.739 5.885
Er 4.105 5.217 3.498
P 1.519 5.217 5.449
P 3.666 1.739 3.934
C 1.293 1.739 8.606
C 3.892 5.217 0.777
O 0.120 1.739 8.015
O 0.951 3.947 6.118
O 0.951 6.488 6.118
O 1.117 5.217 3.928
O 1.498 1.739 0.475
O 2.104 1.739 3.864
O 2.322 1.739 7.765
O 2.863 5.217 1.618
O 3.081 5.217 5.519
O 3.687 5.217 8.908
O 4.068 1.739 5.455
O 4.233 0.469 3.264
O 4.233 3.009 3.264
O 5.065 5.217 1.367
! Total magnetization = 0.03 μB per formula unit
! Crystal system = monoclinic
! DFT total energy = -7.080 eV per atom



! ErNbC2 PBE-GGA relaxed; values from VASP
&SYSTEM
  ibrav = 0, nat = 4, ntyp = 3
/
ATOMIC_SPECIES
Er 167.26 Er.upf
Nb 92.91 Nb.upf
C 12.01 C.upf
CELL_PARAMETERS angstrom
1.634 0.944 5.789
-1.634 0.944 5.789
0.000 -1.887 5.789
ATOMIC_POSITIONS angstrom
Er 0.000 0.000 0.000
Nb 0.000 0.000 3.025
C 0.000 0.000 10.034
C 0.000 0.000 13.289
! Total magnetization = 0.00 μB per formula unit
! Crystal system = trigonal
! Formation enthalpy at 0 K = -0.1883 eV/atom
! DFT total energy = -8.458 eV per atom



! ErNbC2 PBE-GGA relaxed; values from VASP
&SYSTEM
  ibrav = 0, nat = 4, ntyp = 3
/
ATOMIC_SPECIES
Er 167.26 Er.upf
Nb 92.91 Nb.upf
C 12.01 C.upf
CELL_PARAMETERS angstrom
1.650 0.953 5.551
-1.650 0.953 5.551
0.000 -1.906 5.551
ATOMIC_POSITIONS angstrom
Er 0.000 0.000 0.000
Nb 0.000 0.000 8.327
C 0.000 0.000 4.013
C 0.000 0.000 12.641
! Total magnetization = 0.00 μB per formula unit
! Crystal system = trigonal
! Formation enthalpy at 0 K = -0.4514 eV/atom
! DFT total energy = -8.721 eV per atom